1.
Pm2Sb3TeRh4: optimized geometry, PBE.

```
10
Lattice="4.5597 0.0000 0.0000 0.0000 4.5597 0.0000 0.0000 0.0000 10.4801" Properties=species:S:1:pos:R:3 pbc="T T T"
Pm 2.2798 0.0000 2.5174
Pm 0.0000 2.2798 7.9627
Sb 0.0000 0.0000 5.2401
Sb 2.2798 0.0000 9.1027
Sb 0.0000 2.2798 1.3775
Te 2.2798 2.2798 5.2401
Rh 2.2798 2.2798 0.0000
Rh 0.0000 0.0000 0.0000
Rh 2.2798 0.0000 6.5442
Rh 0.0000 2.2798 3.9360
```

As for the space-group type: P-4m2. For the total energy, the calculation gives -6.20 eV/atom.

=====

2.
YScZn2: optimized geometry, PBE.

```
8
Lattice="-6.0983 3.0413 -3.2667 -0.8639 -6.2308 -4.1881 -5.3923 -2.9068 -1.3812" Properties=species:S:1:pos:R:3 pbc="T T T"
Y 0.0000 0.0000 0.0000
Y -7.4859 -0.7302 -4.1876
Sc -3.4811 -1.5948 -3.7274
Sc -4.8687 -5.3662 -4.6484
Zn -5.1505 0.3369 -2.8478
Zn -2.7674 -4.1824 -3.4339
Zn -6.6716 -3.4958 -3.9118
Zn -10.1196 -4.8514 -7.4785
```

As for the space-group type: I-42d. For the total energy, the calculation gives -3.77 eV/atom. The calculation puts the energy of formation at 61.4 meV per atom.

=====

3.
GaAg2Cl: optimized geometry, PBE.

```
4
Lattice="0.0000 3.4376 3.4376 3.4376 0.0000 3.4376 3.4376 3.4376 0.0000" Properties=species:S:1:pos:R:3 pbc="T T T"
Ga 3.4376 3.4376 3.4376
Ag 1.7188 1.7188 1.7188
Ag 5.1564 5.1564 5.1564
Cl 0.0000 0.0000 0.0000
```

As for the space-group type: Fm-3m. For the total energy, the calculation gives -2.50 eV/atom. The polymorph energy (0 for the lowest one) is 174 meV per atom.

=====

4.
Ac2ErMnSe6: optimized geometry, PBE.

```
20
Lattice="-5.4535 3.8960 1.8895 -3.7146 -2.0184 -6.5594 -3.9266 -8.0204 4.6917" Properties=species:S:1:pos:R:3 pbc="T T T"
Ac -4.5110 -3.6405 -4.6528
Ac -8.1092 -5.1094 0.5659
Ac -8.5838 -2.5023 4.6745
Ac -4.9856 -1.0334 -0.5442
Er -2.7268 1.9480 0.9447
Er -3.8206 -5.0194 -0.9339
Mn -4.6901 -2.0622 3.2906
Mn -1.8573 -1.0092 -3.2797
Se -4.3941 -0.5553 -3.6189
Se -9.6322 -2.9153 -1.2962
Se -8.7007 -5.5875 3.6406
Se -3.4625 -3.2275 1.3179
Se -6.0856 -3.6926 -1.8137
Se -11.2293 -6.0013 0.6759
Se -7.0091 -2.4502 1.8354
Se -1.8655 -0.1415 -0.6542
Se -7.7035 0.5365 -0.6231
Se -8.6546 -6.3533 -2.2496
Se -5.3913 -6.6793 0.6448
Se -4.4402 0.2105 2.2713
```

As for the space-group type: P2_1/c. For the total energy, the calculation gives -5.87 eV/atom.

=====

5.
HgMo2: optimized geometry, PBE.

```
3
Lattice="7.2010 0.1756 0.0000 6.0621 3.8905 0.0000 -6.6315 -2.0330 1.9427" Properties=species:S:1:pos:R:3 pbc="T T T"
Hg 0.0000 0.0000 0.0000
Mo 4.3791 1.3425 0.0000
Mo 8.8840 2.7236 0.0000
```

As for the space-group type: I4/mmm. For the total energy, the calculation gives -6.74 eV/atom. The polymorph energy (0 for the lowest one) is 175 meV per atom. The calculation puts the energy of formation at 579.2 meV per atom.

=====

6.
Be16Nb2Tc: optimized geometry, PBE.

```
19
Lattice="5.6335 -0.0231 0.6094 0.5446 5.6072 0.6094 -0.0255 -0.0231 5.6663" Properties=species:S:1:pos:R:3 pbc="T T T"
Be 4.5072 5.5701 2.6800
Be 5.7592 1.5860 4.7791
Be 1.9914 3.9232 6.2583
Be 5.9958 3.9232 2.6800
Be 4.1038 1.5860 6.2583
Be 2.1582 5.5701 4.7791
Be 2.4066 4.6878 2.6932
Be 4.9064 1.9221 2.6932
Be 2.1265 1.9221 5.1772
Be 3.7240 0.8712 4.1674
Be 1.2420 3.6173 4.1674
Be 4.0021 3.6173 1.7010
Be 0.2849 2.7828 0.3188
Be 2.7973 0.0031 0.3188
Be 0.0034 0.0031 2.8154
Be 0.6920 0.6254 0.7744
Nb 4.0637 3.6730 4.5476
Nb 2.1353 1.9300 2.3896
Tc 5.5492 5.0157 6.2100
```

As for the space-group type: R3m. For the total energy, the calculation gives -4.91 eV/atom. The calculation puts the energy of formation at -171.0 meV per atom.

=====

7.
Mg2TcHg: optimized geometry, PBE.

```
4
Lattice="-1.7679 0.5546 2.2943 -2.3404 -0.0400 -1.7938 -0.8975 -8.4896 1.3606" Properties=species:S:1:pos:R:3 pbc="T T T"
Hg -2.7273 -6.1100 1.2707
Mg -0.0231 -0.2181 0.0350
Mg -0.4257 -4.0267 0.6453
Tc -2.2785 -1.8651 0.5904
```

As for the space-group type: P4/mmm. For the total energy, the calculation gives -3.32 eV/atom. The calculation puts the energy of formation at 144.9 meV per atom.

=====

8.
Na12Br3O5: optimized geometry, PBE.

```
80
Lattice="-4.7709 -1.4937 -12.0974 13.0231 1.1932 -0.5622 -3.1155 -10.4506 7.2401" Properties=species:S:1:pos:R:3 pbc="T T T"
Br 0.9160 -1.9791 -8.3789
Br 5.2033 -1.7184 -10.1019
Br 6.0310 -6.1968 -0.4331
Br -0.7332 -4.1432 -0.3796
Br -3.3256 -3.7704 -8.8455
Br 5.5714 -2.4270 -3.0779
Br -0.4348 -8.3240 -2.3416
Br 8.4622 -6.9806 3.4260
Br 5.8698 -6.6078 -5.0399
Br -0.8944 -4.5542 -4.9864
Br -0.0666 -9.0326 4.6824
Br 4.2206 -8.7719 2.9594
O 3.5084 -2.3519 0.0870
O 6.5115 0.5966 -0.2811
O 0.0000 0.0000 0.0000
O 1.0772 -1.5681 -3.7721
O -3.9432 -5.9721 -2.4286
O 4.1261 -0.1502 -6.3298
O 8.0026 -3.2108 0.7812
O -4.6764 -10.1153 -2.8082
O 3.3929 -4.2934 -6.7094
O -2.4978 -8.2489 0.8233
O 7.6345 -2.5021 -6.2428
O 2.5683 -5.3755 -2.7097
O -2.3855 -0.7468 -6.0487
O -1.5577 -5.2253 3.6201
O 1.7437 -6.4576 1.2899
O 9.8130 -0.6357 -2.6113
O 4.9538 -4.6287 3.3390
O -2.8660 -7.5403 -6.2007
O 4.0594 -9.1829 -1.6474
O 1.6282 -8.3991 -5.5065
Na -1.9048 -0.9704 -8.3061
Na 3.8232 -4.0586 -1.2718
Na -0.5939 -4.2970 -9.9592
Na -0.3311 -1.6503 -5.4657
Na 4.0536 -7.1409 -2.4772
Na 2.5147 -2.6365 -11.0550
Na 7.7595 -3.9061 -1.2962
Na 11.1842 -0.1648 -0.9510
Na 7.9560 -6.8050 -2.8977
Na 3.7134 -2.2022 -7.3277
Na 1.3105 -4.7384 -7.2786
Na 7.7856 -0.2255 -10.3895
Na 6.8432 -4.6395 1.9948
Na 3.0905 -0.9372 -4.4102
Na 10.1221 -3.1545 1.3838
Na -2.4869 -6.7681 -0.8093
Na 1.3722 -1.8470 0.2872
Na 6.1779 -0.9678 -5.6240
Na 7.0955 -3.4110 -8.1771
Na 4.6611 -0.6987 -0.8054
Na 8.5187 -7.9111 0.5780
Na 3.7286 -4.5697 -4.5485
Na 4.8191 -5.6635 -7.6827
Na -2.5705 -10.4560 -3.3629
Na 1.4080 -6.1813 -0.8710
Na 0.3175 -5.0875 2.2632
Na 7.7072 -0.2950 -2.0566
Na -1.9588 -7.3400 2.7577
Na -3.3821 -2.8399 -5.9975
Na 0.4755 -10.0524 -4.6140
Na -1.0413 -9.7832 0.2046
Na 7.6235 -3.9830 -4.6102
Na 3.7644 -8.9040 -5.7066
Na -4.9854 -7.5965 -6.8033
Na -1.7066 -6.1115 -7.4143
Na -2.6490 -10.5255 4.9700
Na 2.0462 -9.8138 -1.0093
Na -2.8194 -3.9460 -2.5217
Na 1.4233 -8.5488 1.9082
Na 3.8261 -6.0126 1.8591
Na -6.0476 -10.5862 -4.4685
Na -2.6229 -6.8449 -4.1233
Na 5.4677 -9.1007 0.0462
Na 2.6219 -8.1145 5.6355
Na 1.0830 -3.6101 -2.9422
Na 5.7305 -6.4540 4.5397
Na 1.3134 -6.6924 -4.1476
Na 7.0415 -9.7806 2.8866
```

As for the space-group type: Ia-3d. For the total energy, the calculation gives -3.50 eV/atom.

=====

9.
HoGa3CuRh: optimized geometry, PBE.

```
12
Lattice="-5.4345 1.6650 1.0065 -1.9741 -3.9549 -4.1164 0.4817 -2.3058 6.4157" Properties=species:S:1:pos:R:3 pbc="T T T"
Ho -4.3647 -1.1995 3.2456
Ho -2.5621 -3.3961 0.0601
Ga -1.5111 -0.8762 1.5664
Ga -0.5743 -1.1505 -1.1975
Ga -4.1171 -1.9719 -2.4157
Ga -3.2915 -0.3180 -0.6943
Ga -1.3998 -2.8044 -2.9190
Ga -5.4158 -3.7195 1.7392
Cu -2.7846 -5.2821 1.9787
Cu -4.1422 0.6864 1.3270
Rh -1.7172 -2.6233 3.3438
Rh -5.2097 -1.9724 -0.0381
```

As for the space-group type: Cmcm. For the total energy, the calculation gives -4.54 eV/atom. The calculation puts the energy of formation at -355.6 meV per atom.

=====

10.
MnHgOs4: optimized geometry, PBE.

```
6
Lattice="-4.7761 -2.0398 -0.3592 -3.9673 2.9373 -1.6535 -2.1126 -0.8730 -4.6772" Properties=species:S:1:pos:R:3 pbc="T T T"
Mn 0.0000 0.0000 0.0000
Hg -8.1419 0.0184 -5.0174
Os -6.4614 -1.0131 -2.6867
Os -5.1265 -0.4284 -4.8508
Os -6.0561 1.4812 -3.3354
Os -4.0678 0.0092 -2.5067
```

As for the space-group type: F-43m. For the total energy, the calculation gives -8.25 eV/atom. The calculation puts the energy of formation at 813.6 meV per atom.

=====

Question: Look up the total energy of the tenth one.
Answer: -8.25 eV/atom